# 1
Compound: BaDy2Ag3
Source: Alexandria
Functional: GGA-PBE
Structure: optimized geometry

Cell and atoms, written as extended XYZ:
```
6
Lattice="3.7575 0.0000 0.0000 0.0000 3.7575 0.0000 0.0000 0.0000 11.4669" Properties=species:S:1:pos:R:3 pbc="T T T"
Ba 0.0000 0.0000 0.0000
Dy 0.0000 0.0000 3.9323
Dy 0.0000 0.0000 7.5346
Ag 1.8787 1.8787 2.4110
Ag 1.8787 1.8787 5.7335
Ag 1.8787 1.8787 9.0559
```

Computed properties:
The value obtained for the energy of formation from the pure elements is -262 meV/atom. The calculation puts the density at 8.1 Mg/m³. Its total magnetization is 0.00 μB per cell.



# 2
Compound: BaDyAg2
Source: Alexandria
Functional: GGA-PBE
Structure: optimized geometry

Cell and atoms, written as extended XYZ:
```
4
Lattice="3.8253 0.0000 0.0000 0.0000 3.8253 0.0000 0.0000 0.0000 7.8598" Properties=species:S:1:pos:R:3 pbc="T T T"
Ba 0.0000 0.0000 0.0000
Dy 0.0000 0.0000 3.9299
Ag 1.9127 1.9127 2.3952
Ag 1.9127 1.9127 5.4645
```

Computed properties:
The value obtained for the energy of formation from the pure elements is -247 meV/atom. For the distance to the lowest polymorph of the same formula, the calculation gives 0 meV/atom. The calculation puts the density at 7.4 Mg/m³. Its total magnetization is 0.00 μB per cell.



# 3
Compound: BaDy2Ag
Source: Alexandria
Functional: GGA-PBE
Structure: optimized geometry

Cell and atoms, written as extended XYZ:
```
4
Lattice="1.8305 1.0568 11.6897 -1.8305 1.0568 11.6897 0.0000 -2.1137 11.6897" Properties=species:S:1:pos:R:3 pbc="T T T"
Ba 0.0000 0.0000 0.0000
Dy 0.0000 0.0000 3.6411
Dy 0.0000 0.0000 31.4278
Ag 0.0000 0.0000 17.5345
```

Computed properties:
The value obtained for the energy of formation from the pure elements is 230 meV/atom. For the distance to the lowest polymorph of the same formula, the calculation gives 217 meV/atom. The calculation puts the density at 7.0 Mg/m³. Its total magnetization is 0.26 μB per cell.



# 4
Compound: BaDyAg2
Source: Alexandria
Functional: GGA-PBE
Structure: optimized geometry

Cell and atoms, written as extended XYZ:
```
4
Lattice="5.5266 0.0000 0.0000 0.0000 5.5266 0.0000 0.0000 0.0000 3.7400" Properties=species:S:1:pos:R:3 pbc="T T T"
Ba 0.0000 0.0000 0.0000
Dy 2.7633 2.7633 0.0000
Ag 0.0000 2.7633 1.8700
Ag 2.7633 0.0000 1.8700
```

Computed properties:
The value obtained for the energy of formation from the pure elements is -154 meV/atom. For the distance to the lowest polymorph of the same formula, the calculation gives 93 meV/atom. The calculation puts the density at 7.5 Mg/m³. Its total magnetization is 0.00 μB per cell.



# 5
Compound: BaDy2Ag
Source: Alexandria
Functional: GGA-PBE
Structure: optimized geometry

Cell and atoms, written as extended XYZ:
```
4
Lattice="3.7319 0.0000 0.0000 0.0000 3.7319 0.0000 0.0000 0.0000 9.5998" Properties=species:S:1:pos:R:3 pbc="T T T"
Ba 0.0000 0.0000 0.0000
Dy 1.8660 1.8660 3.1060
Dy 1.8660 1.8660 6.4938
Ag 0.0000 0.0000 4.7999
```

Computed properties:
The value obtained for the energy of formation from the pure elements is 12 meV/atom. For the distance to the lowest polymorph of the same formula, the calculation gives 0 meV/atom. The calculation puts the density at 7.1 Mg/m³. Its total magnetization is 0.00 μB per cell.



# 6
Compound: BaDyAg2
Source: Alexandria
Functional: GGA-PBE
Structure: optimized geometry

Cell and atoms, written as extended XYZ:
```
4
Lattice="2.5592 1.4776 5.6505 -2.5592 1.4776 5.6505 0.0000 -2.9551 5.6505" Properties=species:S:1:pos:R:3 pbc="T T T"
Ba 0.0000 0.0000 0.0000
Dy 0.0000 0.0000 8.4757
Ag 0.0000 0.0000 3.4280
Ag 0.0000 0.0000 13.5235
```

Computed properties:
The value obtained for the energy of formation from the pure elements is -160 meV/atom. For the distance to the lowest polymorph of the same formula, the calculation gives 86 meV/atom. The calculation puts the density at 6.7 Mg/m³. Its total magnetization is 0.00 μB per cell.



# 7
Compound: BaDyAgF6
Source: Alexandria
Functional: GGA-PBE
Structure: optimized geometry

Cell and atoms, written as extended XYZ:
```
18
Lattice="6.1216 0.0000 0.0000 -3.0608 5.3014 0.0000 0.0000 0.0000 11.1687" Properties=species:S:1:pos:R:3 pbc="T T T"
Ba 0.0000 0.0000 0.0000
Ba 0.0000 0.0000 5.5844
Dy 0.0000 3.5343 2.7922
Dy 3.0608 1.7671 8.3766
Ag 0.0000 3.5343 8.3766
Ag 3.0608 1.7671 2.7922
F -0.8849 1.9480 1.5541
F -1.8162 3.5610 4.0303
F 0.8849 1.9480 4.0303
F -0.9313 5.0938 1.5541
F 2.1295 0.2077 7.1385
F 1.2446 1.7404 9.6147
F 1.8162 3.5610 1.5541
F 0.9313 5.0938 4.0303
F 3.9921 0.2077 9.6147
F 2.1759 3.3534 7.1385
F 4.8770 1.7404 7.1385
F 3.9457 3.3534 9.6147
```

Computed properties:
The calculation puts the density at 4.8 Mg/m³. Its total magnetization is 0.28 μB per cell. The value obtained for the uncorrected formation energy is -29.8 eV per formula unit.



# 8
Compound: BaDyAgHg
Source: Alexandria
Functional: GGA-PBE
Structure: optimized geometry

Cell and atoms, written as extended XYZ:
```
4
Lattice="0.0000 3.9176 3.9176 3.9176 0.0000 3.9176 3.9176 3.9176 0.0000" Properties=species:S:1:pos:R:3 pbc="T T T"
Ba 0.0000 0.0000 0.0000
Dy 3.9176 3.9176 3.9176
Ag 5.8764 5.8764 5.8764
Hg 1.9588 1.9588 1.9588
```

Computed properties:
The value obtained for the energy of formation from the pure elements is -226 meV/atom. The calculation puts the density at 8.4 Mg/m³. Its total magnetization is 0.00 μB per cell.



# 9
Compound: BaDyInAg
Source: Alexandria
Functional: GGA-PBE
Structure: optimized geometry

Cell and atoms, written as extended XYZ:
```
4
Lattice="0.0000 3.9473 3.9473 3.9473 0.0000 3.9473 3.9473 3.9473 0.0000" Properties=species:S:1:pos:R:3 pbc="T T T"
Ba 0.0000 0.0000 0.0000
Dy 3.9473 3.9473 3.9473
In 1.9737 1.9737 1.9737
Ag 5.9210 5.9210 5.9210
```

Computed properties:
The value obtained for the energy of formation from the pure elements is -203 meV/atom. The calculation puts the density at 7.1 Mg/m³. Its total magnetization is 0.00 μB per cell.



# 10
Compound: Ba2DyAg3O6
Source: Alexandria
Functional: GGA-PBE
Structure: optimized geometry

Cell and atoms, written as extended XYZ:
```
12
Lattice="4.1032 0.0000 0.0000 0.0000 4.1032 0.0000 0.0000 0.0000 12.6854" Properties=species:S:1:pos:R:3 pbc="T T T"
Ba 0.0000 0.0000 2.5818
Ba 0.0000 0.0000 10.1037
Dy 0.0000 0.0000 6.3427
Ag 2.0516 2.0516 0.0000
Ag 2.0516 2.0516 4.6386
Ag 2.0516 2.0516 8.0468
O 0.0000 2.0516 4.9374
O 0.0000 2.0516 7.7480
O 2.0516 0.0000 4.9374
O 2.0516 0.0000 7.7480
O 2.0516 2.0516 2.0565
O 2.0516 2.0516 10.6289
```

Computed properties:
The calculation puts the density at 6.7 Mg/m³. Its total magnetization is 0.00 μB per cell. The value obtained for the uncorrected formation energy is -18.7 eV per formula unit.



# 11
Compound: Ba2DyAgO4
Source: Alexandria
Functional: GGA-PBE
Structure: optimized geometry

Cell and atoms, written as extended XYZ:
```
8
Lattice="-2.8552 2.8552 5.4289 2.8552 -2.8552 5.4289 2.8552 2.8552 -5.4289" Properties=species:S:1:pos:R:3 pbc="T T T"
Ba 0.0000 0.0000 0.0000
Ba 0.0000 2.8552 2.7145
Dy 0.0000 0.0000 5.4289
Ag 2.8552 0.0000 2.7145
O 1.3005 -1.2014 4.1897
O 1.6538 1.5548 1.2392
O 1.5548 4.0567 -1.2392
O 1.2014 1.3005 6.6681
```

Computed properties:
The calculation puts the density at 5.7 Mg/m³. Its total magnetization is 0.00 μB per cell. The value obtained for the uncorrected formation energy is -17.8 eV per formula unit.



# 12
Compound: Ba3DyAg2O6
Source: Alexandria
Functional: GGA-PBE
Structure: optimized geometry

Cell and atoms, written as extended XYZ:
```
12
Lattice="6.3122 0.0000 0.0000 -3.1561 5.4665 0.0000 0.0000 0.0000 6.8756" Properties=species:S:1:pos:R:3 pbc="T T T"
Ba 0.0000 0.0000 0.0000
Ba 0.0000 3.6443 4.2318
Ba 3.1561 1.8222 2.6438
Dy 0.0000 0.0000 3.4378
Ag 0.0000 3.6443 0.9450
Ag 3.1561 1.8222 5.9306
O 0.0000 1.7897 2.1097
O -1.6062 4.5717 2.1097
O 1.5499 0.8948 4.7659
O 1.6062 4.5717 2.1097
O 4.7623 0.8948 4.7659
O 3.1561 3.6768 4.7659
```

Computed properties:
The calculation puts the density at 6.2 Mg/m³. Its total magnetization is 0.00 μB per cell. The value obtained for the uncorrected formation energy is -22.0 eV per formula unit.